Density functional theory data (PBE) for an optimized crystal structure of KH2PdF8.

a b c (Å): 5.0568 5.0704 7.6649
angles (deg): 80.23 80.62 65.14
Space group P-1 (No. 2)
Symmetry-distinct sites (fractional):
K: 0.0000 0.0000 0.0000
H: 0.2917 0.2943 0.2298
Pd: 0.0000 0.0000 0.5000
F: 0.2289 0.2312 0.4408
F: 0.2424 0.7585 0.6818
F: 0.2436 0.7585 0.3206
F: 0.3083 0.3125 0.1007

## Properties
Its calculated density is 2.85 g/cm³. The calculated volume is 14.57 A^3/atom. The total energy comes out at -3.906 eV per atom.